Record 1
LuThPa2 | GGA-PBE | optimized geometry

Cell lengths 4.967, 4.691, 4.691 Å; angles 90.00, 90.00, 90.00 degrees
Positions (direct):
Pa: 0.000 0.000 0.500
Pa: 0.000 0.500 0.000
Lu: 0.500 0.000 0.000
Th: 0.500 0.500 0.500

Results
Energy above the lowest structure with this stoichiometry   0.0 meV per atom
DFT formation energy   0.172 eV/atom
Total magnetization   0.000 μB/atom
Fermi-level density of states   2.087 states/eV/atom

=====

Record 2
LuThPa2 | GGA-PBE | optimized geometry

Cell lengths 3.341, 3.341, 9.881 Å; angles 90.00, 90.00, 90.00 degrees
Positions (direct):
Pa: 0.000 0.000 0.750
Pa: 0.000 0.000 0.250
Lu: 0.500 0.500 0.000
Th: 0.500 0.500 0.500

Results
Energy above the lowest structure with this stoichiometry   0.4 meV per atom
DFT formation energy   0.173 eV/atom
Total magnetization   0.000 μB/atom
Fermi-level density of states   2.011 states/eV/atom

=====

Record 3
LuTh2Pa | GGA-PBE | optimized geometry

Cell lengths 3.364, 3.364, 12.327 Å; angles 82.16, 82.16, 60.00 degrees
Positions (direct):
Pa: 0.000 0.000 0.000
Lu: 0.500 0.500 0.500
Th: 0.086 0.086 0.742
Th: 0.914 0.914 0.258

Results
Energy above the lowest structure with this stoichiometry   144.5 meV per atom
DFT formation energy   0.294 eV/atom
Total magnetization   0.000 μB/atom
Fermi-level density of states   1.316 states/eV/atom

=====

Record 4
TmLuThPa | GGA-PBE | optimized geometry

Cell lengths 5.505, 5.505, 5.505 Å; angles 60.00, 60.00, 60.00 degrees
Last column: magnetic moment on the atom in μB.
Positions (direct):
Tm: 0.500 0.500 0.500  0.22
Pa: 0.750 0.750 0.750  0.62
Lu: 0.250 0.250 0.250  0.14
Th: 0.000 0.000 0.000  0.13

Results
DFT formation energy   0.337 eV/atom
Total magnetization   0.359 μB/atom
Fermi-level density of states   3.039 states/eV/atom